(1)
Below is a relaxed LiY2FeO5 crystal, with properties calculated at the PBE with a Hubbard U level.

Total magnetic moment ... 2.99 μB per formula unit
E_tot ... -7.5710 eV/atom
SG ... Cmc2_1

Geometry as POSCAR:
```
LiY2FeO5
1.0
1.655 -6.795 0.000
1.655 6.795 0.000
0.000 0.000 8.963
Li Y Fe O
2 4 2 10
direct
0.224 0.776 0.500
0.776 0.224 0.000
0.118 0.882 0.804
0.126 0.874 0.181
0.874 0.126 0.681
0.882 0.118 0.304
0.416 0.584 0.984
0.584 0.416 0.484
0.031 0.969 0.562
0.302 0.698 0.843
0.317 0.683 0.147
0.358 0.642 0.502
0.487 0.513 0.798
0.513 0.487 0.298
0.642 0.358 0.002
0.683 0.317 0.647
0.698 0.302 0.343
0.969 0.031 0.062
```



(2)
Below is a relaxed LiZnFe7O12 crystal, with properties calculated at the PBE with a Hubbard U level.

Total magnetic moment ... 5.00 μB per formula unit
E_tot ... -5.9936 eV/atom
Density of states at the Fermi level ... 0.09 states/eV/f.u.
SG ... Cm

Geometry as POSCAR:
```
LiZnFe7O12
1.0
5.085 -2.959 0.000
5.085 2.959 0.000
-0.176 0.000 14.367
Li Zn Fe O
2 2 14 24
direct
0.000 0.000 0.000
0.669 0.669 0.334
0.669 0.669 0.710
0.833 0.833 0.539
0.004 0.004 0.370
0.004 0.004 0.753
0.007 0.500 0.880
0.163 0.163 0.209
0.163 0.671 0.209
0.332 0.332 0.043
0.332 0.332 0.667
0.336 0.833 0.540
0.338 0.338 0.416
0.500 0.007 0.880
0.502 0.502 0.879
0.663 0.663 0.085
0.671 0.163 0.209
0.833 0.336 0.540
0.001 0.001 0.140
0.008 0.008 0.616
0.032 0.476 0.132
0.157 0.157 0.460
0.168 0.697 0.453
0.178 0.631 0.961
0.185 0.185 0.953
0.299 0.856 0.285
0.332 0.332 0.282
0.339 0.339 0.804
0.350 0.834 0.801
0.476 0.032 0.132
0.481 0.481 0.135
0.494 0.987 0.621
0.505 0.505 0.615
0.631 0.178 0.961
0.657 0.657 0.472
0.668 0.668 0.948
0.697 0.168 0.453
0.829 0.829 0.804
0.834 0.350 0.801
0.853 0.853 0.286
0.856 0.299 0.285
0.987 0.494 0.621
```



(3)
Below is a relaxed LiZn4Fe13O24 crystal, with properties calculated at the PBE with a Hubbard U level.

Total magnetic moment ... 2.99 μB per formula unit
E_tot ... -6.1891 eV/atom
SG ... Cm

Geometry as POSCAR:
```
LiZn4Fe13O24
1.0
5.221 -3.024 0.000
5.221 3.024 0.000
-0.063 0.000 14.724
Li Zn Fe O
1 4 13 24
direct
0.000 0.000 0.000
0.003 0.003 0.629
0.168 0.168 0.462
0.330 0.330 0.294
0.841 0.841 0.797
0.167 0.668 0.461
0.333 0.846 0.796
0.336 0.336 0.920
0.342 0.342 0.670
0.496 0.992 0.126
0.500 0.500 0.125
0.665 0.665 0.587
0.666 0.666 0.964
0.668 0.167 0.461
0.669 0.669 0.340
0.846 0.333 0.796
0.992 0.496 0.126
0.996 0.996 0.250
0.012 0.012 0.865
0.015 0.500 0.381
0.170 0.170 0.206
0.170 0.170 0.716
0.170 0.649 0.204
0.180 0.682 0.715
0.321 0.835 0.540
0.330 0.330 0.053
0.342 0.342 0.538
0.360 0.815 0.051
0.493 0.493 0.382
0.500 0.015 0.381
0.503 0.989 0.879
0.516 0.516 0.879
0.649 0.170 0.204
0.665 0.665 0.208
0.669 0.669 0.719
0.682 0.180 0.715
0.809 0.809 0.046
0.815 0.360 0.051
0.835 0.321 0.540
0.841 0.841 0.539
0.989 0.503 0.879
0.992 0.992 0.381
```



(4)
Below is a relaxed LiZnFeO3 crystal, with properties calculated at the PBE with a Hubbard U level.

Total magnetic moment ... 4.99 μB per formula unit
E_tot ... -5.5163 eV/atom
Density of states at the Fermi level ... 0.00 states/eV/f.u.
SG ... Imm2

Geometry as POSCAR:
```
LiZnFeO3
1.0
3.015 0.000 0.000
0.000 4.171 0.000
0.000 0.000 9.153
Li Zn Fe O
2 2 2 6
direct
0.000 0.000 0.000
0.500 0.500 0.500
0.000 0.000 0.334
0.500 0.500 0.834
0.000 0.000 0.660
0.500 0.500 0.160
0.000 0.500 0.007
0.000 0.500 0.314
0.000 0.500 0.667
0.500 0.000 0.167
0.500 0.000 0.507
0.500 0.000 0.814
```



(5)
Below is a relaxed LiZnFe2O4 crystal, with properties calculated at the PBE with a Hubbard U level.

Total magnetic moment ... 9.00 μB per formula unit
E_tot ... -5.7749 eV/atom
SG ... P2/m

Geometry as POSCAR:
```
LiZnFe2O4
1.0
5.183 0.000 0.000
0.000 3.045 0.000
-1.532 0.000 4.953
Li Zn Fe O
1 1 2 4
direct
0.000 0.000 0.000
0.000 0.500 0.500
0.500 0.000 0.500
0.500 0.500 0.000
0.257 0.500 0.254
0.262 0.000 0.774
0.738 0.000 0.226
0.743 0.500 0.746
```



(6)
Below is a relaxed Li2ZrFeO4 crystal, with properties calculated at the PBE with a Hubbard U level.

Total magnetic moment ... 4.00 μB per formula unit
E_tot ... -7.0440 eV/atom
Density of states at the Fermi level ... 0.00 states/eV/f.u.
SG ... C2/c

Geometry as POSCAR:
```
Li2ZrFeO4
1.0
4.428 -4.332 0.000
4.428 4.332 0.000
-4.334 0.000 4.462
Li Zr Fe O
4 2 2 8
direct
0.000 0.000 0.000
0.000 0.000 0.500
0.000 0.500 0.000
0.500 0.000 0.500
0.000 0.500 0.500
0.500 0.000 0.000
0.500 0.500 0.000
0.500 0.500 0.500
0.242 0.757 0.981
0.243 0.758 0.519
0.258 0.271 0.503
0.271 0.258 0.003
0.729 0.742 0.997
0.742 0.729 0.497
0.757 0.242 0.481
0.758 0.243 0.019
```



> Which formula does entry 1 have?

LiY2FeO5